# KNaV4O12

A relaxed KNaV4O12 crystal (PBE+U, the Alexandria database).

a b c (Å): 5.3365 5.3365 7.5375
angles (deg): 90.00 90.00 90.00
Closest atoms and distances in Å follow each position.
Atoms (fractional coordinates):
K 0.0000 0.0000 0.0000  12 O 2.67-2.70
Na 0.5000 0.5000 0.5000  12 O 2.63-2.67
V 0.0000 0.5000 0.2514  6 O 1.87-1.89
V 0.0000 0.5000 0.7486  6 O 1.87-1.89
V 0.5000 0.0000 0.2514  6 O 1.87-1.89
V 0.5000 0.0000 0.7486  6 O 1.87-1.89
O 0.0000 0.5000 0.0000  2 V 1.89
O 0.0000 0.5000 0.5000  2 V 1.87
O 0.2520 0.2520 0.2545  2 V 1.89
O 0.2520 0.2520 0.7455  2 V 1.89
O 0.2520 0.7480 0.2545  2 V 1.89
O 0.2520 0.7480 0.7455  2 V 1.89
O 0.5000 0.0000 0.0000  2 V 1.89
O 0.5000 0.0000 0.5000  2 V 1.87
O 0.7480 0.2520 0.2545  2 V 1.89
O 0.7480 0.2520 0.7455  2 V 1.89
O 0.7480 0.7480 0.2545  2 V 1.89
O 0.7480 0.7480 0.7455  2 V 1.89

Summary:
Magnetization: 2.02 μB/cell
DOS at the Fermi energy: 0.287 states/eV/atom
Space group: P4/mmm (123)
Energy: -119.93 eV for the cell shown